Material: Zr2PaSe6
Method: DFT, PBE
State: relaxed

Calculated values
Formation energy (no corrections) in eV per atom: -1.34
Polymorph energy (0 for the lowest one) in eV per formula unit: 0.00
Crystal system: monoclinic

a = 17.7090 Å, b = 3.9103 Å, c = 8.2350 Å
α = 90.00°, β = 107.63°, γ = 90.00°
Space group C2/m (No. 12)
One atom of each set of equivalent atoms:
Zr 0.1722 0.0000 0.3465
Pa 0.0000 0.5000 0.0000
Se 0.0079 0.0000 0.2499
Se 0.1657 0.5000 0.1068
Se 0.1699 0.5000 0.5761